Record 1
Ho2ThPaAs4 PBE optimized geometry; spin magnetization = 0.001 Bohr magnetons per cell; DFT formation energy = -132 kJ per mole of atoms; electronic total energy = -6.9476 eV/atom
1.0
4.1446 0.0000 0.0000
0.0000 7.1337 -0.1279
0.0000 2.5243 6.7188
As Ho Th Pa
4 2 1 1
Cartesian
2.0724 6.0147 1.6171 As
2.0723 3.6434 4.9738 As
4.1446 2.3945 1.7060 As
0.0001 7.2635 4.8849 As
0.0000 2.5243 6.7188 Ho
2.0723 1.2622 3.3594 Ho
2.0723 3.5669 -0.0639 Th
0.0000 4.8290 3.2955 Pa


Record 2
KBa7Pd2 PBE optimized geometry; spin magnetization = 0.000 Bohr magnetons per cell; DFT formation energy = -16 kJ per mole of atoms; electronic total energy = -2.6651 eV/atom
1.0
-1.1612 -4.7435 3.9729
9.0972 -3.7629 -1.8338
-0.7038 6.5147 7.5727
Pd Ba K
2 7 1
Cartesian
5.5778 -3.0529 2.9731 Pd
1.6544 1.0612 6.7386 Pd
2.2520 3.4153 4.7359 Ba
6.1414 -0.6634 1.0029 Ba
2.4468 -3.3051 1.7569 Ba
-0.3515 -0.3707 4.4426 Ba
7.5837 -1.6210 5.2691 Ba
3.6161 -0.9958 4.8559 Ba
4.7854 1.3134 7.9548 Ba
0.0000 0.0000 0.0000 K


Record 3
Ac3B2Pd9Pt PBE optimized geometry; spin magnetization = 0.000 Bohr magnetons per cell; DFT formation energy = -55 kJ per mole of atoms; electronic total energy = -5.7980 eV/atom
1.0
6.8467 0.0000 0.0000
-3.4234 5.9294 0.0000
0.0000 0.0000 7.2697
Ac Pt B Pd
3 1 2 9
Cartesian
0.0000 0.0000 0.0000 Ac
0.0000 3.9530 4.8000 Ac
3.4234 1.9765 2.4697 Ac
0.0000 0.0000 3.6349 Pt
3.4234 1.9765 6.3352 B
0.0000 3.9530 0.9345 B
1.4706 4.8020 2.2038 Pd
0.0000 2.2548 2.2038 Pd
-1.4706 4.8020 2.2038 Pd
3.4234 3.6746 5.0659 Pd
4.8940 1.1274 5.0659 Pd
3.4234 0.0000 0.0000 Pd
1.9528 1.1274 5.0659 Pd
1.7117 2.9647 0.0000 Pd
-1.7117 2.9647 0.0000 Pd


Record 4
Ba2YRe PBE optimized geometry; spin magnetization = 0.137 Bohr magnetons per cell; DFT formation energy = 108 kJ per mole of atoms; electronic total energy = -4.5737 eV/atom; offset from the most stable computed form = 560.1 meV/atom
1.0
-2.6639 11.3151 -1.2112
-3.2419 10.9659 2.4150
0.1567 11.6301 1.1447
Ba Re Y
2 1 1
Cartesian
-5.6503 33.3277 2.3082 Ba
-2.9735 17.5390 1.2147 Ba
-1.4373 8.4778 0.5871 Re
-4.3119 25.4334 1.7614 Y


Record 5
AcSc2TaO7 PBE optimized geometry; spin magnetization = 0.000 Bohr magnetons per cell; electronic total energy = -9.0002 eV/atom; formation energy from raw total energies = -3.2428 eV/atom
1.0
4.0148 0.0000 0.0000
0.0000 4.0148 0.0000
-2.0074 -2.0074 9.2814
O Ac Sc Ta
7 1 2 1
Cartesian
0.0000 2.0074 2.6383 O
2.0074 0.0000 7.6246 O
0.0000 2.0074 6.6431 O
0.0000 0.0000 4.3905 O
2.0074 0.0000 1.6568 O
2.0074 2.0074 4.8909 O
0.0000 0.0000 0.0000 O
2.0074 2.0074 0.0000 Ac
2.0074 2.0074 7.1453 Sc
0.0000 0.0000 2.1361 Sc
0.0000 2.0074 4.6407 Ta


Record 6
TbCe2Ho PBE optimized geometry; spin magnetization = 0.743 Bohr magnetons per cell; DFT formation energy = 34 kJ per mole of atoms; electronic total energy = -4.9205 eV/atom; offset from the most stable computed form = 259.8 meV/atom
1.0
-5.3379 0.8670 -1.0583
-3.7766 -2.7180 3.5693
-1.8228 5.5611 7.1235
Tb Ce Ho
2 4 2
Cartesian
-2.7997 1.4216 5.3464 Tb
-3.5803 3.2141 3.0326 Tb
-3.6055 -1.3661 3.5386 Ce
-8.1128 2.9618 8.8468 Ce
-7.3318 5.0762 6.0960 Ce
-2.8244 0.7484 0.7878 Ce
-5.8764 0.9118 2.2415 Ho
-5.0609 2.7984 7.3931 Ho


Record 7
Ba3CdIn PBE optimized geometry; spin magnetization = 1.325 Bohr magnetons per cell; DFT formation energy = 7 kJ per mole of atoms; electronic total energy = -1.8166 eV/atom; offset from the most stable computed form = 389.1 meV/atom
1.0
6.7206 0.0000 0.0000
0.0000 6.7206 0.0000
0.0000 0.0000 6.7206
Ba Cd In
3 1 1
Cartesian
0.0000 0.0000 3.3603 Ba
0.0000 3.3603 0.0000 Ba
3.3603 0.0000 0.0000 Ba
3.3603 3.3603 3.3603 Cd
0.0000 0.0000 0.0000 In


Record 8
KTcIN2 PBE optimized geometry; spin magnetization = 0.512 Bohr magnetons per cell; electronic total energy = -2.8052 eV/atom; offset from the most stable computed form = 2671.4 meV/atom; formation energy from raw total energies = 3.1277 eV/atom
1.0
-3.1095 2.8799 -0.7808
-2.9321 -2.7399 1.5711
0.7692 2.3137 5.4703
N K I Tc
2 1 1 1
Cartesian
-1.4660 -1.3700 0.7856 N
-1.5548 1.4399 -0.3904 N
0.0000 0.0000 0.0000 K
0.3846 1.1568 2.7352 I
-2.6362 1.2268 3.1303 Tc


Repeat the first record exactly.
Ho2ThPaAs4 PBE optimized geometry; spin magnetization = 0.001 Bohr magnetons per cell; DFT formation energy = -132 kJ per mole of atoms; electronic total energy = -6.9476 eV/atom
1.0
4.1446 0.0000 0.0000
0.0000 7.1337 -0.1279
0.0000 2.5243 6.7188
As Ho Th Pa
4 2 1 1
Cartesian
2.0724 6.0147 1.6171 As
2.0723 3.6434 4.9738 As
4.1446 2.3945 1.7060 As
0.0001 7.2635 4.8849 As
0.0000 2.5243 6.7188 Ho
2.0723 1.2622 3.3594 Ho
2.0723 3.5669 -0.0639 Th
0.0000 4.8290 3.2955 Pa


spin magnetization of number 3 (Ac3B2Pd9Pt)?
0.000 Bohr magnetons per cell


What is the spin magnetization in the first record?
0.001 Bohr magnetons per cell